This record from the Alexandria database describes a relaxed structure of Li3Mn2CoO6. The functional is GGA+U.

Cell and atoms, written as POSCAR:
```
Li3Mn2CoO6
1.0
-1.290 1.273 -2.367
-1.650 -6.306 -0.683
-11.019 -0.410 5.009
O Co Li Mn
12 2 6 4
Cartesian
-2.590 -3.310 -2.129 O
-3.368 -5.694 -1.200 O
-12.056 -5.998 2.624 O
-10.781 -3.503 1.428 O
-11.224 -2.159 4.280 O
-8.450 -3.393 0.244 O
-9.227 -5.778 1.172 O
-5.780 -2.015 1.698 O
-8.673 -2.306 2.824 O
-6.489 -5.814 0.135 O
-5.328 -3.271 -1.090 O
-3.097 -2.037 0.396 O
-5.082 -1.389 -0.136 Co
-10.594 -1.597 2.368 Co
-2.313 -1.261 -1.319 Li
-2.933 -0.096 1.278 Li
-11.646 -4.112 3.447 Li
-8.248 -0.357 3.656 Li
-7.853 -1.521 1.047 Li
-5.943 -3.949 0.820 Li
-13.865 -5.465 2.013 Mn
-5.527 -0.237 2.461 Mn
-8.972 -4.034 2.040 Mn
-3.350 -3.816 -0.367 Mn
```

Properties
Its energy above the most stable polymorph in this dataset is 22.1 meV/atom. The calculation puts the total energy at -6.27 eV/atom.